1.
Co3Ni3W2 (PBE, relaxed); space group = No. 155; ΔH_f (0 K) = -0.135 eV/f.u.; calculated volume = 96 Å³ per cell
1.0
3.386 1.955 2.418
-3.386 1.955 2.418
0.000 -3.910 2.418
Co Ni W
3 3 2
Cartesian
-1.012 -2.156 2.418 Co
-1.361 1.955 2.418 Co
2.374 0.201 2.418 Co
-1.673 0.000 3.627 Ni
0.836 -1.448 3.627 Ni
0.836 1.448 3.627 Ni
0.000 0.000 1.577 W
0.000 0.000 5.678 W

2.
Co2Ni8W (PBE, relaxed); space group = No. 12; ΔH_f (0 K) = 5.385 eV/f.u.; calculated volume = 146 Å³ per cell
1.0
4.468 -4.013 0.000
4.468 4.013 0.000
-1.106 0.000 4.070
Co Ni W
2 8 1
Cartesian
1.307 0.000 0.201 Co
6.523 0.000 3.870 Co
2.895 1.998 2.927 Ni
1.817 0.000 2.502 Ni
4.935 1.998 1.143 Ni
3.580 0.000 0.833 Ni
4.250 0.000 3.237 Ni
2.895 -1.998 2.927 Ni
6.013 0.000 1.568 Ni
4.935 -1.998 1.143 Ni
-0.553 0.000 2.035 W

3.
CoNiW4 (PBE, relaxed); space group = No. 216; ΔH_f (0 K) = 4.636 eV/f.u.; calculated volume = 98 Å³ per cell
1.0
0.000 3.657 3.657
3.657 0.000 3.657
3.657 3.657 0.000
Co Ni W
1 1 4
Cartesian
0.000 0.000 0.000 Co
5.486 5.486 5.486 Ni
2.744 2.744 2.744 W
4.570 4.570 2.744 W
4.570 2.744 4.570 W
2.744 4.570 4.570 W